# 1
This record from Alexandria via LeMat-Bulk describes crystalline YMn2Tc at its relaxed geometry. The functional is PBE.

Computed properties:
DOS at the Fermi energy: 5.548 states/eV/f.u.
formation enthalpy at 0 K: 0.42 eV/atom
space-group type: Pmmm, No. 47
total energy: -8.373 eV per atom

Lattice parameters (Å, degrees): 3.8166 4.2644 4.3064 90.00 90.00 90.00
With the nearest neighbours (Å) after each atom.
Fractional coordinates of all 4 atoms:
Y1 0.0000 0.0000 0.0000  8 Mn 2.86-3.03, 4 Tc 2.88
Mn1 0.0000 0.5000 0.5000  4 Tc 2.86, 4 Mn 2.88, 4 Y 3.03
Mn2 0.5000 0.5000 0.0000  4 Y 2.86, 4 Mn 2.88, 4 Tc 3.03
Tc1 0.5000 0.0000 0.5000  8 Mn 2.86-3.03, 4 Y 2.88

# 2
This record from Alexandria via LeMat-Bulk describes crystalline Nd8Ni3SBr4 at its relaxed geometry. The functional is PBE.

Computed properties:
DOS at the Fermi energy: 13.973 states/eV/f.u.
space-group type: R-3m, No. 166
formation energy without anion corrections: -0.991 eV per atom
total energy: -5.135 eV per atom

Lattice parameters (Å, degrees): 8.9073 8.9073 8.9073 54.75 54.75 54.75
With the nearest neighbours (Å) after each atom.
Fractional coordinates of all 16 atoms:
Nd1 0.2281 0.7377 0.7377  2 Ni 2.80, 1 S 2.86
Nd2 0.2302 0.2302 0.2302  3 Ni 2.77
Nd3 0.2623 0.2623 0.7719  2 Ni 2.80, 1 S 2.86
Nd4 0.2623 0.7719 0.2623  2 Ni 2.80, 1 S 2.86
Nd5 0.7377 0.2281 0.7377  2 Ni 2.80, 1 S 2.86
Nd6 0.7377 0.7377 0.2281  2 Ni 2.80, 1 S 2.86
Nd7 0.7698 0.7698 0.7698  3 Ni 2.77
Nd8 0.7719 0.2623 0.2623  2 Ni 2.80, 1 S 2.86
Ni1 0.0000 0.0000 0.5000  6 Nd 2.77-2.80
Ni2 0.0000 0.5000 0.0000  6 Nd 2.77-2.80
Ni3 0.5000 0.0000 0.0000  6 Nd 2.77-2.80
S1 0.5000 0.5000 0.5000  6 Nd 2.86
Br1 0.0000 0.0000 0.0000  6 Nd 3.22
Br2 0.0000 0.5000 0.5000  6 Nd 3.27-3.32
Br3 0.5000 0.0000 0.5000  6 Nd 3.27-3.32
Br4 0.5000 0.5000 0.0000  6 Nd 3.27-3.32

# 3
This record from Alexandria via LeMat-Bulk describes crystalline AcTb9Pr2 at its relaxed geometry. The functional is PBE.

Computed properties:
DOS at the Fermi energy: 17.945 states/eV/f.u.
formation enthalpy at 0 K: 0.03 eV/atom
space-group type: P4/mmm, No. 123
total energy: -4.581 eV per atom

Lattice parameters (Å, degrees): 5.1191 5.1191 15.3718 90.00 90.00 90.00
With the nearest neighbours (Å) after each atom.
Fractional coordinates of all 12 atoms:
Ac1 0.0000 0.0000 0.0000  12 Tb 3.62-3.67
Tb1 0.0000 0.5000 0.1713  2 Pr 3.59, 8 Tb 3.60-3.67, 2 Ac 3.67
Tb2 0.0000 0.5000 0.5000  8 Tb 3.60-3.62, 4 Pr 3.61
Tb3 0.0000 0.5000 0.8287  2 Pr 3.59, 8 Tb 3.60-3.67, 2 Ac 3.67
Tb4 0.5000 0.0000 0.1713  2 Pr 3.59, 8 Tb 3.60-3.67, 2 Ac 3.67
Tb5 0.5000 0.0000 0.5000  8 Tb 3.60-3.62, 4 Pr 3.61
Tb6 0.5000 0.0000 0.8287  2 Pr 3.59, 8 Tb 3.60-3.67, 2 Ac 3.67
Tb7 0.5000 0.5000 0.0000  4 Ac 3.62, 8 Tb 3.67
Tb8 0.5000 0.5000 0.3356  8 Tb 3.60, 4 Pr 3.62
Tb9 0.5000 0.5000 0.6644  8 Tb 3.60, 4 Pr 3.62
Pr1 0.0000 0.0000 0.3346  12 Tb 3.59-3.62
Pr2 0.0000 0.0000 0.6654  12 Tb 3.59-3.62

# 4
This record from Alexandria via LeMat-Bulk describes crystalline ZrBe3Cu at its relaxed geometry. The functional is PBE.

Computed properties:
DOS at the Fermi energy: 6.335 states/eV/f.u.
formation enthalpy at 0 K: 1.94 eV/atom
space-group type: Pm-3m, No. 221
total energy: -2.822 eV per atom

Lattice parameters (Å, degrees): 4.6448 4.6448 4.6448 90.00 90.00 90.00
With the nearest neighbours (Å) after each atom.
Fractional coordinates of all 5 atoms:
Zr1 0.0000 0.0000 0.0000  6 Be 2.32
Be1 0.0000 0.0000 0.5000  2 Zr 2.32
Be2 0.0000 0.5000 0.0000  2 Zr 2.32
Be3 0.5000 0.0000 0.0000  2 Zr 2.32
Cu1 0.5000 0.5000 0.5000  12 Be 3.28

# 5
This record from Alexandria via LeMat-Bulk describes crystalline SrCa2In9 at its relaxed geometry. The functional is PBE.

Computed properties:
DOS at the Fermi energy: 8.727 states/eV/f.u.
formation enthalpy at 0 K: -0.31 eV/atom
space-group type: P4/mmm, No. 123
total energy: -2.841 eV per atom

Lattice parameters (Å, degrees): 4.7730 4.7730 14.3291 90.00 90.00 90.00
With the nearest neighbours (Å) after each atom.
Fractional coordinates of all 12 atoms:
Sr1 0.0000 0.0000 0.0000  12 In 3.38-3.45
Ca1 0.0000 0.0000 0.3374  12 In 3.34-3.38
Ca2 0.0000 0.0000 0.6626  12 In 3.34-3.38
In1 0.0000 0.5000 0.1734  8 In 3.32-3.45, 2 Ca 3.35, 2 Sr 3.45
In2 0.0000 0.5000 0.5000  4 Ca 3.34, 8 In 3.36-3.38
In3 0.0000 0.5000 0.8266  8 In 3.32-3.45, 2 Ca 3.35, 2 Sr 3.45
In4 0.5000 0.0000 0.1734  8 In 3.32-3.45, 2 Ca 3.35, 2 Sr 3.45
In5 0.5000 0.0000 0.5000  4 Ca 3.34, 8 In 3.36-3.38
In6 0.5000 0.0000 0.8266  8 In 3.32-3.45, 2 Ca 3.35, 2 Sr 3.45
In7 0.5000 0.5000 0.0000  4 Sr 3.38, 8 In 3.45
In8 0.5000 0.5000 0.3346  8 In 3.32-3.36, 4 Ca 3.38
In9 0.5000 0.5000 0.6654  8 In 3.32-3.36, 4 Ca 3.38

# 6
This record from Alexandria via LeMat-Bulk describes crystalline PrNd4Th2 at its relaxed geometry. The functional is PBE.

Computed properties:
DOS at the Fermi energy: 10.314 states/eV/f.u.
formation enthalpy at 0 K: 0.04 eV/atom
space-group type: R-3m, No. 166
total energy: -5.490 eV per atom

Lattice parameters (Å, degrees): 20.9331 20.9331 20.9331 10.04 10.04 10.04
With the nearest neighbours (Å) after each atom.
Fractional coordinates of all 7 atoms:
Pr1 0.0000 0.0000 0.0000  6 Pr 3.67, 6 Nd 3.67
Nd1 0.0964 0.0964 0.0964  3 Th 3.65, 9 Nd 3.67-3.69
Nd2 0.3813 0.3813 0.3813  9 Nd 3.67-3.69, 3 Pr 3.67
Nd3 0.6187 0.6187 0.6187  9 Nd 3.67-3.69, 3 Pr 3.67
Nd4 0.9036 0.9036 0.9036  3 Th 3.65, 9 Nd 3.67-3.69
Th1 0.1894 0.1894 0.1894  9 Th 3.54-3.67, 3 Nd 3.65
Th2 0.8106 0.8106 0.8106  9 Th 3.54-3.67, 3 Nd 3.65

# 7
This record from Alexandria via LeMat-Bulk describes crystalline Nd3Sm7Sc at its relaxed geometry. The functional is PBE.

Computed properties:
DOS at the Fermi energy: 15.875 states/eV/f.u.
formation enthalpy at 0 K: 0.24 eV/atom
space-group type: Immm, No. 71
total energy: -4.636 eV per atom

Lattice parameters (Å, degrees): 8.5434 8.5434 8.5434 139.82 96.98 96.57
With the nearest neighbours (Å) after each atom.
Fractional coordinates of all 11 atoms:
Nd1 0.0000 0.0000 0.0000  4 Sm 3.23
Nd2 0.2084 0.7084 0.5000  9 Sm 3.32-3.66
Nd3 0.7916 0.2916 0.5000  9 Sm 3.32-3.66
Sm1 0.0143 0.2081 0.8062  2 Nd 3.23-3.59, 3 Sm 3.34-3.48
Sm2 0.2150 0.5000 0.7150  1 Sc 3.23, 2 Nd 3.40, 2 Sm 3.48
Sm3 0.4019 0.2081 0.1938  2 Nd 3.23-3.59, 3 Sm 3.34-3.48
Sm4 0.5000 0.0000 0.5000  2 Sc 2.93
Sm5 0.5981 0.7919 0.8062  2 Nd 3.23-3.59, 3 Sm 3.34-3.48
Sm6 0.7850 0.5000 0.2850  1 Sc 3.23, 2 Nd 3.40, 2 Sm 3.48
Sm7 0.9857 0.7919 0.1938  2 Nd 3.23-3.59, 3 Sm 3.34-3.48
Sc1 0.5000 0.5000 0.0000  4 Sm 2.93-3.23

# 8
This record from Alexandria via LeMat-Bulk describes crystalline TlReAu2 at its relaxed geometry. The functional is PBE.

Computed properties:
DOS at the Fermi energy: 2.905 states/eV/f.u.
formation enthalpy at 0 K: 0.83 eV/atom
space-group type: I4/mmm, No. 139
total energy: -4.508 eV per atom

Lattice parameters (Å, degrees): 5.2235 5.2235 5.2235 132.79 132.79 68.99
With the nearest neighbours (Å) after each atom.
Fractional coordinates of all 4 atoms:
Tl1 0.0000 0.0000 0.0000  4 Re 2.96, 8 Au 3.00
Re1 0.5000 0.5000 0.0000  4 Tl 2.96, 8 Au 3.00
Au1 0.2500 0.7500 0.5000  4 Au 2.96, 4 Tl 3.00, 4 Re 3.00
Au2 0.7500 0.2500 0.5000  4 Au 2.96, 4 Tl 3.00, 4 Re 3.00